Record 1
Density functional theory data (PBE) for a geometry-optimized ScTcMo2 structure.

Cell and atoms, written as POSCAR:
```
ScTcMo2
1.0
4.4378 0.0000 0.0000
0.0000 2.8240 -0.0023
0.0000 0.9222 5.2052
Mo Sc Tc
2 1 1
Cartesian
0.0000 0.9288 5.2013 Mo
2.2189 0.8614 1.2895 Mo
0.0000 1.8831 2.6190 Sc
2.2189 2.8681 3.8998 Tc
```

Summary:
formation energy	13.6	meV per atom

Record 2
Density functional theory data (PBE) for a geometry-optimized Cs2AcHg2I6 structure.

Cell and atoms, written as POSCAR:
```
Cs2AcHg2I6
1.0
-0.5349 9.5550 -0.8595
-6.8910 -4.9085 3.4287
7.8922 0.9737 5.9138
Cs Ac Hg I
2 1 2 6
Cartesian
-2.2208 4.8718 1.8343 Cs
2.6871 0.7485 6.6488 Cs
3.6787 5.2644 2.5272 Ac
-0.0457 5.4726 7.1598 Hg
0.5120 0.1477 1.3234 Hg
0.8311 5.2493 4.1316 I
-4.2923 -2.1129 4.0807 I
5.0066 3.3035 4.8009 I
4.7586 7.7332 4.4024 I
-4.5403 2.3167 3.6822 I
-0.3648 0.3710 4.3515 I
```

Summary:
E_form (uncorrected)	-12.21	eV per formula unit

Number 1: size of the total moment 0.00 μB per formula unit, theoretical density 8.52 g/cm3. Number 2: size of the total moment 0.00 μB per formula unit, theoretical density 4.31 g/cm3.